1.
# HfZn2Sn (PBE, optimized geometry)
# electronic total energy	-64.3	eV/cell
# DFT formation energy	0.11	eV/atom
data_HfZn2Sn
_chemical_formula_sum 'Hf4 Zn8 Sn4'
_cell_length_a 7.538
_cell_length_b 7.538
_cell_length_c 5.751
_cell_angle_alpha 90.00
_cell_angle_beta 90.00
_cell_angle_gamma 90.00
_space_group_name_H-M_alt 'I -4 2 d'
_space_group_IT_number 122
_space_group_name_Hall 'I -4 2bw'
loop_
_atom_site_label
_atom_site_type_symbol
_atom_site_fract_x
_atom_site_fract_y
_atom_site_fract_z
_atom_site_occupancy
Hf1 Hf 0.000 0.000 0.000 1
Zn1 Zn 0.242 0.250 0.625 1
Sn1 Sn 0.000 0.000 0.500 1



2.
# Hf5Zn2Sn (PBE, optimized geometry)
# electronic total energy	-230.8	eV/cell
# DFT formation energy	-0.17	eV/atom
data_Hf5Zn2Sn
_chemical_formula_sum 'Hf20 Zn8 Sn4'
_cell_length_a 7.283
_cell_length_b 7.283
_cell_length_c 12.281
_cell_angle_alpha 90.00
_cell_angle_beta 90.00
_cell_angle_gamma 90.00
_space_group_name_H-M_alt 'I 4/m c m'
_space_group_IT_number 140
_space_group_name_Hall '-I 4 2c'
loop_
_atom_site_label
_atom_site_type_symbol
_atom_site_fract_x
_atom_site_fract_y
_atom_site_fract_z
_atom_site_occupancy
Hf1 Hf 0.000 0.000 0.000 1
Hf2 Hf 0.154 0.346 0.152 1
Zn1 Zn 0.138 0.362 0.500 1
Sn1 Sn 0.000 0.000 0.250 1



3.
# HfZn2Sn (PBE, optimized geometry)
# electronic total energy	-17.3	eV/cell
# DFT formation energy	-0.21	eV/atom
data_HfZn2Sn
_chemical_formula_sum 'Hf1 Zn2 Sn1'
_cell_length_a 4.196
_cell_length_b 4.196
_cell_length_c 4.160
_cell_angle_alpha 90.00
_cell_angle_beta 90.00
_cell_angle_gamma 90.00
_space_group_name_H-M_alt 'P 4/m m m'
_space_group_IT_number 123
_space_group_name_Hall '-P 4 2'
loop_
_atom_site_label
_atom_site_type_symbol
_atom_site_fract_x
_atom_site_fract_y
_atom_site_fract_z
_atom_site_occupancy
Hf1 Hf 0.000 0.000 0.000 1
Zn1 Zn 0.000 0.500 0.500 1
Sn1 Sn 0.500 0.500 0.000 1



4.
# Hf2ZnSn (PBE, optimized geometry)
# electronic total energy	-103.4	eV/cell
# DFT formation energy	-0.17	eV/atom
data_Hf2ZnSn
_chemical_formula_sum 'Hf8 Zn4 Sn4'
_cell_length_a 8.728
_cell_length_b 6.977
_cell_length_c 5.338
_cell_angle_alpha 90.00
_cell_angle_beta 90.00
_cell_angle_gamma 90.00
_space_group_name_H-M_alt 'C m c m'
_space_group_IT_number 63
_space_group_name_Hall '-C 2c 2'
loop_
_atom_site_label
_atom_site_type_symbol
_atom_site_fract_x
_atom_site_fract_y
_atom_site_fract_z
_atom_site_occupancy
Hf1 Hf 0.199 0.158 0.250 1
Zn1 Zn 0.000 0.500 0.000 1
Sn1 Sn 0.000 0.166 0.750 1



5.
# HfZn3Sn (PBE, optimized geometry)
# electronic total energy	-13.0	eV/cell
# distance to the lowest polymorph of the same formula	81	meV per atom
# DFT formation energy	0.95	eV/atom
data_HfZn3Sn
_chemical_formula_sum 'Hf1 Zn3 Sn1'
_cell_length_a 4.961
_cell_length_b 4.961
_cell_length_c 4.961
_cell_angle_alpha 90.00
_cell_angle_beta 90.00
_cell_angle_gamma 90.00
_space_group_name_H-M_alt 'P m -3 m'
_space_group_IT_number 221
_space_group_name_Hall '-P 4 2 3'
loop_
_atom_site_label
_atom_site_type_symbol
_atom_site_fract_x
_atom_site_fract_y
_atom_site_fract_z
_atom_site_occupancy
Hf1 Hf 0.000 0.000 0.000 1
Zn1 Zn 0.000 0.500 0.500 1
Sn1 Sn 0.500 0.500 0.500 1



6.
# Hf2ZnSn (PBE, optimized geometry)
# electronic total energy	-25.8	eV/cell
# DFT formation energy	-0.15	eV/atom
data_Hf2ZnSn
_chemical_formula_sum 'Hf2 Zn1 Sn1'
_cell_length_a 3.679
_cell_length_b 3.679
_cell_length_c 5.992
_cell_angle_alpha 90.00
_cell_angle_beta 90.00
_cell_angle_gamma 90.00
_space_group_name_H-M_alt 'P 4/m m m'
_space_group_IT_number 123
_space_group_name_Hall '-P 4 2'
loop_
_atom_site_label
_atom_site_type_symbol
_atom_site_fract_x
_atom_site_fract_y
_atom_site_fract_z
_atom_site_occupancy
Hf1 Hf 0.000 0.000 0.248 1
Zn1 Zn 0.500 0.500 0.000 1
Sn1 Sn 0.500 0.500 0.500 1



7.
# HfZnSn (PBE, optimized geometry)
# electronic total energy	-31.0	eV/cell
# DFT formation energy	-0.09	eV/atom
data_HfZnSn
_chemical_formula_sum 'Hf2 Zn2 Sn2'
_cell_length_a 4.039
_cell_length_b 4.039
_cell_length_c 7.395
_cell_angle_alpha 90.00
_cell_angle_beta 90.00
_cell_angle_gamma 90.00
_space_group_name_H-M_alt 'P 4/n m m'
_space_group_IT_number 129
loop_
_space_group_symop_operation_xyz
'x,y,z'
'-x,-y,-z'
'-y+1/2,x,z'
'y+1/2,-x,-z'
'-x+1/2,-y+1/2,z'
'x+1/2,y+1/2,-z'
'y,-x+1/2,z'
'-y,x+1/2,-z'
'x+1/2,-y,-z'
'-x+1/2,y,z'
'-y,-x,-z'
'y,x,z'
'-x,y+1/2,-z'
'x,-y+1/2,z'
'y+1/2,x+1/2,-z'
'-y+1/2,-x+1/2,z'
loop_
_atom_site_label
_atom_site_type_symbol
_atom_site_fract_x
_atom_site_fract_y
_atom_site_fract_z
_atom_site_occupancy
Hf1 Hf 0.250 0.250 0.150 1
Zn1 Zn 0.250 0.750 0.500 1
Sn1 Sn 0.250 0.250 0.763 1



8.
# HfZnSn (PBE, optimized geometry)
# electronic total energy	-15.6	eV/cell
# DFT formation energy	-0.12	eV/atom
data_HfZnSn
_chemical_formula_sum 'Hf1 Zn1 Sn1'
_cell_length_a 3.055
_cell_length_b 4.232
_cell_length_c 5.149
_cell_angle_alpha 65.73
_cell_angle_beta 89.76
_cell_angle_gamma 89.87
_space_group_name_H-M_alt 'P 1'
_space_group_IT_number 1
loop_
_space_group_symop_operation_xyz
'x,y,z'
loop_
_atom_site_label
_atom_site_type_symbol
_atom_site_fract_x
_atom_site_fract_y
_atom_site_fract_z
_atom_site_occupancy
Hf1 Hf 0.000 0.000 0.000 1
Zn1 Zn 0.500 0.638 0.725 1
Sn1 Sn 0.500 0.319 0.363 1



9.
# HfZnSn3 (PBE, optimized geometry)
# electronic total energy	-21.0	eV/cell
# distance to the lowest polymorph of the same formula	0	meV per atom
# DFT formation energy	0.45	eV/atom
data_HfZnSn3
_chemical_formula_sum 'Hf1 Zn1 Sn3'
_cell_length_a 5.552
_cell_length_b 5.552
_cell_length_c 5.552
_cell_angle_alpha 90.00
_cell_angle_beta 90.00
_cell_angle_gamma 90.00
_space_group_name_H-M_alt 'P m -3 m'
_space_group_IT_number 221
_space_group_name_Hall '-P 4 2 3'
loop_
_atom_site_label
_atom_site_type_symbol
_atom_site_fract_x
_atom_site_fract_y
_atom_site_fract_z
_atom_site_occupancy
Hf1 Hf 0.000 0.000 0.000 1
Zn1 Zn 0.500 0.500 0.500 1
Sn1 Sn 0.000 0.000 0.500 1



10.
# Hf12ZnSn6 (PBE, optimized geometry)
# electronic total energy	-442.6	eV/cell
# DFT formation energy	-0.15	eV/atom
data_Hf12ZnSn6
_chemical_formula_sum 'Hf36 Zn3 Sn18'
_cell_length_a 10.6458
_cell_length_b 10.6458
_cell_length_c 12.7359
_cell_angle_alpha 90.00
_cell_angle_beta 90.00
_cell_angle_gamma 120.00
_space_group_name_H-M_alt 'R -3'
_space_group_IT_number 148
_space_group_name_Hall '-R 3'
loop_
_atom_site_label
_atom_site_type_symbol
_atom_site_fract_x
_atom_site_fract_y
_atom_site_fract_z
_atom_site_occupancy
Hf1 Hf 0.0482 0.1833 0.3103 1
Hf2 Hf 0.0670 0.8517 0.9118 1
Zn1 Zn 0.0000 0.0000 0.5000 1
Sn1 Sn 0.0238 0.4361 0.2115 1



11.
# HfZn2Sn (PBE, optimized geometry)
# electronic total energy	-48.2	eV/cell
# DFT formation energy	0.11	eV/atom
data_HfZn2Sn
_chemical_formula_sum 'Hf3 Zn6 Sn3'
_cell_length_a 4.3037
_cell_length_b 4.3037
_cell_length_c 14.6879
_cell_angle_alpha 90.00
_cell_angle_beta 90.00
_cell_angle_gamma 120.00
_space_group_name_H-M_alt 'R -3 m'
_space_group_IT_number 166
_space_group_name_Hall '-R 3 2"'
loop_
_atom_site_label
_atom_site_type_symbol
_atom_site_fract_x
_atom_site_fract_y
_atom_site_fract_z
_atom_site_occupancy
Hf1 Hf 0.0000 0.0000 0.0000 1
Zn1 Zn 0.0000 0.0000 0.2453 1
Sn1 Sn 0.0000 0.0000 0.5000 1



12.
# Hf8Zn2Sn3 (PBE, optimized geometry)
# electronic total energy	-276.4	eV/cell
# DFT formation energy	0.16	eV/atom
data_Hf8Zn2Sn3
_chemical_formula_sum 'Hf24 Zn6 Sn9'
_cell_length_a 5.8246
_cell_length_b 5.8246
_cell_length_c 30.3740
_cell_angle_alpha 90.00
_cell_angle_beta 90.00
_cell_angle_gamma 120.00
_space_group_name_H-M_alt 'R -3 m'
_space_group_IT_number 166
_space_group_name_Hall '-R 3 2"'
loop_
_atom_site_label
_atom_site_type_symbol
_atom_site_fract_x
_atom_site_fract_y
_atom_site_fract_z
_atom_site_occupancy
Hf1 Hf 0.0000 0.0000 0.2178 1
Hf2 Hf 0.0024 0.5012 0.7254 1
Zn1 Zn 0.0000 0.0000 0.1301 1
Sn1 Sn 0.0000 0.0000 0.3099 1
Sn2 Sn 0.0000 0.0000 0.5000 1